No. 1
! NaAlAu3, single point on PBEsol structure, DFT SCAN; values from VASP
! Density of states at the Fermi level: 0.16 states/eV/atom
! Total DFT energy (no corrections): -220.5 eV/f.u.
! M_tot: 0.00 μB per formula unit
! Distance to the lowest polymorph of the same formula: 0 meV/atom
! Mass density: 9.3 g cm⁻³
&SYSTEM
  ibrav = 0, nat = 5, ntyp = 3
/
ATOMIC_SPECIES
Al 26.98 Al.upf
Au 196.97 Au.upf
Na 22.99 Na.upf
CELL_PARAMETERS angstrom
-0.180 -3.087 3.735
3.362 -2.771 -2.128
3.489 2.511 2.244
ATOMIC_POSITIONS crystal
Al 0.000 0.000 0.000
Au 0.000 0.500 0.000
Au 0.500 0.000 0.000
Au 0.000 0.000 0.500
Na 0.500 0.500 0.500

---

No. 2
! Na2AlAu2, single point on PBEsol structure, DFT SCAN; values from VASP
! Density of states at the Fermi level: 0.31 states/eV/atom
! Total DFT energy (no corrections): -156.6 eV/f.u.
! M_tot: 0.00 μB per formula unit
! Mass density: 7.3 g cm⁻³
&SYSTEM
  ibrav = 0, nat = 10, ntyp = 3
/
ATOMIC_SPECIES
Na 22.99 Na.upf
Au 196.97 Au.upf
Al 26.98 Al.upf
CELL_PARAMETERS angstrom
4.761 0.000 0.000
0.000 6.659 0.000
0.000 0.000 6.659
ATOMIC_POSITIONS crystal
Na 0.500 0.834 0.334
Na 0.500 0.334 0.166
Na 0.500 0.666 0.834
Na 0.500 0.166 0.666
Au 0.000 0.647 0.147
Au 0.000 0.853 0.647
Au 0.000 0.353 0.853
Au 0.000 0.147 0.353
Al 0.000 0.500 0.500
Al 0.000 0.000 0.000

---

No. 3
! Nb3AlAu, single point on PBEsol structure, DFT SCAN; values from VASP
! Density of states at the Fermi level: 0.86 states/eV/atom
! Total DFT energy (no corrections): -171.1 eV/f.u.
! M_tot: 0.00 μB per formula unit
! Mass density: 8.4 g cm⁻³
&SYSTEM
  ibrav = 0, nat = 5, ntyp = 3
/
ATOMIC_SPECIES
Al 26.98 Al.upf
Au 196.97 Au.upf
Nb 92.91 Nb.upf
CELL_PARAMETERS angstrom
4.625 0.000 0.000
0.000 4.625 0.000
0.000 0.000 4.625
ATOMIC_POSITIONS crystal
Al 0.000 0.000 0.000
Au 0.500 0.500 0.500
Nb 0.000 0.500 0.000
Nb 0.000 0.000 0.500
Nb 0.500 0.000 0.000

---

No. 4
! NbAlSi2Au, single point on PBEsol structure, DFT SCAN; values from VASP
! Density of states at the Fermi level: 0.73 states/eV/atom
! Total DFT energy (no corrections): -124.6 eV/f.u.
! M_tot: 1.13 μB per formula unit
! Energy relative to the elements, uncorrected: 25.01 kcal/mol of atoms
! Mass density: 5.7 g cm⁻³
&SYSTEM
  ibrav = 0, nat = 5, ntyp = 4
/
ATOMIC_SPECIES
Au 196.97 Au.upf
Si 28.09 Si.upf
Nb 92.91 Nb.upf
Al 26.98 Al.upf
CELL_PARAMETERS angstrom
4.528 0.000 0.000
0.000 4.528 0.000
0.000 0.000 5.323
ATOMIC_POSITIONS crystal
Au 0.000 0.000 0.000
Si 0.000 0.500 0.000
Si 0.500 0.000 0.000
Nb 0.000 0.000 0.500
Al 0.500 0.500 0.500

---

No. 5
! NdAl7Au3, single point on PBEsol structure, DFT SCAN; values from VASP
! Density of states at the Fermi level: 0.18 states/eV/atom
! Total DFT energy (no corrections): -313.4 eV/f.u.
! M_tot: 0.00 μB per formula unit
! Mass density: 7.8 g cm⁻³
&SYSTEM
  ibrav = 0, nat = 22, ntyp = 3
/
ATOMIC_SPECIES
Al 26.98 Al.upf
Au 196.97 Au.upf
Nd 144.24 Nd.upf
CELL_PARAMETERS angstrom
8.058 0.000 0.000
4.029 6.978 0.000
4.029 2.326 7.012
ATOMIC_POSITIONS crystal
Al 0.667 0.070 0.410
Al 0.333 0.930 0.590
Al 0.167 0.353 0.910
Al 0.853 0.667 0.410
Al 0.430 0.833 0.090
Al 0.750 0.750 0.750
Al 0.147 0.333 0.590
Al 0.647 0.430 0.090
Al 0.353 0.570 0.910
Al 0.250 0.250 0.250
Al 0.070 0.853 0.410
Al 0.833 0.647 0.090
Al 0.930 0.147 0.590
Al 0.570 0.167 0.910
Au 0.750 0.428 0.750
Au 0.928 0.250 0.250
Au 0.428 0.072 0.750
Au 0.250 0.572 0.250
Au 0.072 0.750 0.750
Au 0.572 0.928 0.250
Nd 0.500 0.500 0.500
Nd 0.000 0.000 0.000

---

No. 6
! NdAlAu, single point on PBEsol structure, DFT SCAN; values from VASP
! Density of states at the Fermi level: 0.73 states/eV/atom
! Total DFT energy (no corrections): -123.5 eV/f.u.
! M_tot: 0.00 μB per formula unit
! Mass density: 9.5 g cm⁻³
&SYSTEM
  ibrav = 0, nat = 12, ntyp = 3
/
ATOMIC_SPECIES
Au 196.97 Au.upf
Nd 144.24 Nd.upf
Al 26.98 Al.upf
CELL_PARAMETERS angstrom
-0.935 -2.247 3.816
6.341 -3.822 -0.698
3.679 5.363 4.060
ATOMIC_POSITIONS crystal
Au 0.250 0.801 0.906
Au 0.750 0.199 0.094
Au 0.250 0.301 0.594
Au 0.750 0.699 0.406
Nd 0.250 0.512 0.190
Nd 0.750 0.488 0.810
Nd 0.250 0.012 0.310
Nd 0.750 0.988 0.690
Al 0.250 0.170 0.919
Al 0.750 0.830 0.081
Al 0.250 0.670 0.581
Al 0.750 0.330 0.419

---

No. 7
! AlNiAu2, single point on PBEsol structure, DFT SCAN; values from VASP
! Density of states at the Fermi level: 0.36 states/eV/atom
! Total DFT energy (no corrections): -163.7 eV/f.u.
! M_tot: 0.00 μB per formula unit
! Mass density: 13.8 g cm⁻³
&SYSTEM
  ibrav = 0, nat = 4, ntyp = 3
/
ATOMIC_SPECIES
Ni 58.69 Ni.upf
Au 196.97 Au.upf
Al 26.98 Al.upf
CELL_PARAMETERS angstrom
-0.142 1.084 -2.785
1.301 -2.487 -1.035
-5.809 -2.722 -0.765
ATOMIC_POSITIONS crystal
Ni 0.000 0.000 0.532
Au 0.500 0.500 0.280
Au 0.000 0.000 0.971
Al 0.500 0.500 0.716

---

No. 8
! AlNiAu2, single point on PBEsol structure, DFT SCAN; values from VASP
! Density of states at the Fermi level: 0.36 states/eV/atom
! Total DFT energy (no corrections): -163.7 eV/f.u.
! M_tot: 0.00 μB per formula unit
! Mass density: 13.7 g cm⁻³
&SYSTEM
  ibrav = 0, nat = 4, ntyp = 3
/
ATOMIC_SPECIES
Au 196.97 Au.upf
Al 26.98 Al.upf
Ni 58.69 Ni.upf
CELL_PARAMETERS angstrom
3.593 0.000 0.000
0.000 4.009 0.000
-1.796 -2.004 4.031
ATOMIC_POSITIONS crystal
Au 0.754 0.254 0.507
Au 0.989 0.989 0.979
Al 0.240 0.740 0.479
Ni 0.517 0.517 0.034

---

No. 9
! AlNiAu2, single point on PBEsol structure, DFT SCAN; values from VASP
! Density of states at the Fermi level: 0.80 states/eV/atom
! Total DFT energy (no corrections): -162.6 eV/f.u.
! M_tot: 0.00 μB per formula unit
! Mass density: 13.3 g cm⁻³
&SYSTEM
  ibrav = 0, nat = 4, ntyp = 3
/
ATOMIC_SPECIES
Ni 58.69 Ni.upf
Au 196.97 Au.upf
Al 26.98 Al.upf
CELL_PARAMETERS angstrom
-2.633 0.648 -1.055
-0.664 -0.653 -2.756
-3.866 -7.333 1.138
ATOMIC_POSITIONS crystal
Ni 0.500 0.500 0.500
Au 0.250 0.250 0.251
Au 0.750 0.750 0.749
Al 0.000 0.000 0.000

---

No. 10
! AlNiAu2, single point on PBEsol structure, DFT SCAN; values from VASP
! Density of states at the Fermi level: 0.33 states/eV/atom
! Total DFT energy (no corrections): -163.6 eV/f.u.
! M_tot: 0.00 μB per formula unit
! Mass density: 13.7 g cm⁻³
&SYSTEM
  ibrav = 0, nat = 4, ntyp = 3
/
ATOMIC_SPECIES
Au 196.97 Au.upf
Al 26.98 Al.upf
Ni 58.69 Ni.upf
CELL_PARAMETERS angstrom
-1.950 2.499 2.121
-3.256 -1.197 -1.583
2.214 -3.391 2.602
ATOMIC_POSITIONS crystal
Au 0.000 0.000 0.000
Au 0.750 0.250 0.500
Al 0.250 0.750 0.500
Ni 0.500 0.500 0.000

---

No. 11
! AlNiAu2, single point on PBEsol structure, DFT SCAN; values from VASP
! Density of states at the Fermi level: 0.44 states/eV/atom
! Total DFT energy (no corrections): -163.6 eV/f.u.
! M_tot: 0.00 μB per formula unit
! Mass density: 13.7 g cm⁻³
&SYSTEM
  ibrav = 0, nat = 4, ntyp = 3
/
ATOMIC_SPECIES
Au 196.97 Au.upf
Ni 58.69 Ni.upf
Al 26.98 Al.upf
CELL_PARAMETERS angstrom
-3.158 -0.418 -2.583
-0.040 -2.545 3.716
-2.588 1.097 2.986
ATOMIC_POSITIONS crystal
Au 0.250 0.500 0.250
Au 0.750 0.500 0.750
Ni 0.000 0.000 0.000
Al 0.500 0.000 0.500

---

No. 12
! AlNiAu2, single point on PBEsol structure, DFT SCAN; values from VASP
! Density of states at the Fermi level: 0.44 states/eV/atom
! Total DFT energy (no corrections): -163.6 eV/f.u.
! M_tot: 0.00 μB per formula unit
! Mass density: 13.7 g cm⁻³
&SYSTEM
  ibrav = 0, nat = 4, ntyp = 3
/
ATOMIC_SPECIES
Ni 58.69 Ni.upf
Al 26.98 Al.upf
Au 196.97 Au.upf
CELL_PARAMETERS angstrom
2.943 0.000 0.000
0.000 4.482 -0.004
-1.471 -1.557 4.399
ATOMIC_POSITIONS crystal
Ni 0.521 0.485 0.043
Al 0.231 0.764 0.461
Au 0.766 0.291 0.531
Au 0.982 0.960 0.965

---

Q: density of states at the Fermi level of number 7 (AlNiAu2)?
A: 0.36 states/eV/atom

---

Q: Which value of M_tot does entry 8 give?
A: 0.00 μB per formula unit

---

Q: M_tot of number 11 (AlNiAu2)?
A: 0.00 μB per formula unit